Entry from the Alexandria database: an optimized crystal structure of SbOsBr2 (PBE). Values from VASP.

* polymorph energy (0 for the lowest one): 45.1 meV/atom
* ΔE_f (raw): 324 meV per atom
* space-group type: Cm, No. 8
* raw total energy: -4.3503 eV per atom

Structure (Quantum ESPRESSO input):
```
&SYSTEM
  ibrav = 0, nat = 8, ntyp = 3
/
ATOMIC_SPECIES
Sb 121.76 Sb.upf
Os 190.23 Os.upf
Br 79.90 Br.upf
CELL_PARAMETERS angstrom
9.588 0.000 0.000
0.000 3.557 0.000
-2.747 0.000 6.899
ATOMIC_POSITIONS angstrom
Sb 0.000 0.000 0.000
Sb 4.794 1.779 0.000
Os 2.133 1.779 0.234
Os 6.927 0.000 0.234
Br -0.307 0.000 5.176
Br 2.432 0.000 2.033
Br 4.487 1.779 5.176
Br 7.226 1.779 2.033
```

***

Entry from the Alexandria database: an optimized crystal structure of Rb2Ga2Ru (PBE). Values from VASP.

* polymorph energy (0 for the lowest one): 0.0 meV/atom
* space-group type: P4/mbm, No. 127
* raw total energy: -3.2159 eV per atom
* ΔH_f (0 K): 0.237 eV/atom

Structure (Quantum ESPRESSO input):
```
&SYSTEM
  ibrav = 0, nat = 10, ntyp = 3
/
ATOMIC_SPECIES
Rb 85.47 Rb.upf
Ga 69.72 Ga.upf
Ru 101.07 Ru.upf
CELL_PARAMETERS angstrom
6.896 0.000 0.000
0.000 6.896 0.000
0.000 0.000 6.271
ATOMIC_POSITIONS angstrom
Rb 1.197 2.251 0.000
Rb 2.251 5.699 0.000
Rb 4.645 1.197 0.000
Rb 5.699 4.645 0.000
Ga 1.514 4.962 3.136
Ga 1.934 1.514 3.136
Ga 4.962 5.382 3.136
Ga 5.382 1.934 3.136
Ru 0.000 0.000 3.136
Ru 3.448 3.448 3.136
```

***

Entry from the Alexandria database: an optimized crystal structure of LaPr5Sm7 (PBE). Values from VASP.

* space-group type: Imm2, No. 44
* raw total energy: -4.5335 eV per atom
* ΔH_f (0 K): 0.225 eV/atom

Structure (Quantum ESPRESSO input):
```
&SYSTEM
  ibrav = 0, nat = 13, ntyp = 3
/
ATOMIC_SPECIES
La 138.91 La.upf
Pr 140.91 Pr.upf
Sm 150.36 Sm.upf
CELL_PARAMETERS angstrom
-3.451 5.680 5.970
3.451 -5.680 5.970
3.451 5.680 -5.970
ATOMIC_POSITIONS angstrom
La 0.000 0.000 0.000
Pr 3.451 0.000 2.048
Pr 1.590 2.613 2.472
Pr 5.313 2.613 2.472
Pr -1.861 3.067 8.442
Pr 1.861 3.067 8.442
Sm 3.451 2.018 -0.631
Sm 3.451 -1.883 5.331
Sm 0.000 0.000 4.744
Sm 3.451 1.883 5.331
Sm 0.000 5.680 2.266
Sm 0.000 0.000 8.378
Sm 0.000 3.661 5.339
```